VASP calculation (PBE-GGA) on a relaxed LiPuPt crystal.

## Properties
Its density is 13.188 g cm⁻³. As for the formation energy from the elements: -40.7 kJ/mol of atoms. The total energy is -7.8509 eV per atom. For the energy above the most stable polymorph in this dataset, the calculation gives 0.173 eV/atom.

The structure in CIF format:
```
data_LiPuPt
_symmetry_space_group_name_H-M 'P -6 m 2'
_symmetry_Int_Tables_number 187
_symmetry_space_group_name_Hall 'P -6 2'
_cell_length_a 4.6864
_cell_length_b 4.6864
_cell_length_c 2.9528
_cell_angle_alpha 90.00
_cell_angle_beta 90.00
_cell_angle_gamma 120.00
loop_
_atom_site_label
_atom_site_type_symbol
_atom_site_fract_x
_atom_site_fract_y
_atom_site_fract_z
_atom_site_occupancy
Li1 Li 0.0000 0.0000 0.0000 1
Pu1 Pu 0.6667 0.3333 0.5000 1
Pt1 Pt 0.3333 0.6667 0.0000 1
```